[1]
Here is an optimized crystal structure of KBa7Au2 from the Alexandria database. Energies are from PBE-GGA.

Magnetization: 0.0 μB/f.u.
Energy: -0.08544 hartree per atom
Crystal system: orthorhombic

a b c (Å): 10.141 10.141 6.402
angles (deg): 90.00 90.00 115.75
Fractional positions:
K: 0.000 0.000 0.000
Ba: 0.053 0.334 0.500
Ba: 0.302 0.698 0.000
Ba: 0.334 0.053 0.500
Ba: 0.500 0.500 0.500
Ba: 0.666 0.947 0.500
Ba: 0.698 0.302 0.000
Ba: 0.947 0.666 0.500
Au: 0.299 0.701 0.500
Au: 0.701 0.299 0.500

[2]
Here is an optimized crystal structure of SmPuPt from the Alexandria database. Energies are from PBE-GGA.

Magnetization: 6.3 μB/f.u.
Energy: -0.32782 hartree per atom
Crystal system: cubic

a b c (Å): 6.951 6.951 6.951
angles (deg): 90.00 90.00 90.00
Fractional positions:
Sm: 0.000 0.000 0.000
Sm: 0.000 0.500 0.500
Sm: 0.500 0.000 0.500
Sm: 0.500 0.500 0.000
Pu: 0.000 0.000 0.500
Pu: 0.000 0.500 0.000
Pu: 0.500 0.000 0.000
Pu: 0.500 0.500 0.500
Pt: 0.250 0.250 0.250
Pt: 0.250 0.750 0.750
Pt: 0.750 0.250 0.750
Pt: 0.750 0.750 0.250

[3]
Here is an optimized crystal structure of K2LiI2 from the Alexandria database. Energies are from PBE-GGA.

Formation energy (no corrections): -4.3 eV/f.u.
Magnetization: 0.8 μB/f.u.
Crystal system: tetragonal

a b c (Å): 9.983 9.983 4.322
angles (deg): 90.00 90.00 90.00
Fractional positions:
K: 0.143 0.357 0.000
K: 0.357 0.857 0.000
K: 0.643 0.143 0.000
K: 0.857 0.643 0.000
Li: 0.000 0.000 0.000
Li: 0.500 0.500 0.000
I: 0.155 0.655 0.500
I: 0.345 0.155 0.500
I: 0.655 0.845 0.500
I: 0.845 0.345 0.500

[4]
Here is an optimized crystal structure of NaBi2Te6Pb3 from the Alexandria database. Energies are from PBE-GGA.

Formation energy (no corrections): -4.5 eV/f.u.
Magnetization: 0.0 μB/f.u.
Crystal system: monoclinic

a b c (Å): 7.970 7.970 8.057
angles (deg): 99.76 99.76 120.49
Fractional positions:
Na: 0.000 0.000 0.000
Bi: 0.336 0.664 0.000
Bi: 0.664 0.336 0.000
Te: 0.081 0.421 0.246
Te: 0.263 0.263 0.762
Te: 0.421 0.081 0.246
Te: 0.579 0.919 0.754
Te: 0.737 0.737 0.238
Te: 0.919 0.579 0.754
Pb: 0.170 0.830 0.500
Pb: 0.500 0.500 0.500
Pb: 0.830 0.170 0.500